Entry 1:
# La5PrY5 GGA-PBE optimized geometry
# calculated volume: 405.3 Å³ per cell
# total magnetic moment: 0.00 μB/f.u.
# calculated density: 5.24 g/cm³
# total DFT energy (no corrections): -5.337 eV per atom
data_La5PrY5
_chemical_formula_sum 'La5 Pr1 Y5'
_symmetry_space_group_name_H-M 'P -6 m 2'
_symmetry_Int_Tables_number 187
_symmetry_space_group_name_Hall 'P -6 2'
_cell_length_a 6.2511
_cell_length_b 6.2511
_cell_length_c 11.9771
_cell_angle_alpha 90.00
_cell_angle_beta 90.00
_cell_angle_gamma 120.00
loop_
_atom_site_label
_atom_site_type_symbol
_atom_site_fract_x
_atom_site_fract_y
_atom_site_fract_z
La1 La 0.0000 0.0000 0.0000
La2 La 0.3333 0.6667 0.3166
La3 La 0.6667 0.3333 0.1506
Pr1 Pr 0.3333 0.6667 0.0000
Y1 Y 0.0000 0.0000 0.2623
Y2 Y 0.3317 0.1659 0.5000

---

Entry 2:
# La4Pr5Y GGA-PBE optimized geometry
# calculated volume: 740.2 Å³ per cell
# total magnetic moment: 0.00 μB/f.u.
# E above lowest polymorph: 0.004 eV per atom
# calculated density: 6.05 g/cm³
data_La4Pr5Y
_chemical_formula_sum 'La8 Pr10 Y2'
_symmetry_space_group_name_H-M 'C 1 2/m 1'
_symmetry_Int_Tables_number 12
_symmetry_space_group_name_Hall '-C 2y'
_cell_length_a 12.0519
_cell_length_b 5.7119
_cell_length_c 10.7528
_cell_angle_alpha 90.00
_cell_angle_beta 90.05
_cell_angle_gamma 90.00
loop_
_atom_site_label
_atom_site_type_symbol
_atom_site_fract_x
_atom_site_fract_y
_atom_site_fract_z
La1 La 0.0453 0.0000 0.2475
La2 La 0.1821 0.5000 0.7503
Pr1 Pr 0.0000 0.5000 0.5000
Pr2 Pr 0.1954 0.0000 0.5628
Pr3 Pr 0.1957 0.0000 0.9356
Y1 Y 0.0000 0.5000 0.0000

---

Entry 3:
# La8Pr5Y GGA-PBE optimized geometry
# calculated volume: 1037.2 Å³ per cell
# total magnetic moment: 0.00 μB/f.u.
# calculated density: 6.10 g/cm³
# total DFT energy (no corrections): -4.770 eV per atom
data_La8Pr5Y
_chemical_formula_sum 'La16 Pr10 Y2'
_symmetry_space_group_name_H-M 'I -4'
_symmetry_Int_Tables_number 82
_symmetry_space_group_name_Hall 'I -4'
_cell_length_a 9.9797
_cell_length_b 9.9797
_cell_length_c 10.4141
_cell_angle_alpha 90.00
_cell_angle_beta 90.00
_cell_angle_gamma 90.00
loop_
_atom_site_label
_atom_site_type_symbol
_atom_site_fract_x
_atom_site_fract_y
_atom_site_fract_z
La1 La 0.0696 0.1705 0.3441
La2 La 0.0787 0.3141 0.0066
Pr1 Pr 0.0000 0.5000 0.2500
Pr2 Pr 0.1036 0.2932 0.6756
Y1 Y 0.0000 0.0000 0.0000

---

Entry 4:
# La2Pr3Y5 GGA-PBE optimized geometry
# calculated volume: 1407.6 Å³ per cell
# total magnetic moment: 0.00 μB/f.u.
# E above lowest polymorph: 0.102 eV per atom
# calculated density: 5.40 g/cm³
data_La2Pr3Y5
_chemical_formula_sum 'La8 Pr12 Y20'
_symmetry_space_group_name_H-M 'I b a m'
_symmetry_Int_Tables_number 72
_symmetry_space_group_name_Hall '-I 2 2c'
_cell_length_a 12.3137
_cell_length_b 17.4679
_cell_length_c 6.5442
_cell_angle_alpha 90.00
_cell_angle_beta 90.00
_cell_angle_gamma 90.00
loop_
_atom_site_label
_atom_site_type_symbol
_atom_site_fract_x
_atom_site_fract_y
_atom_site_fract_z
La1 La 0.0850 0.1700 0.0000
Pr1 Pr 0.0000 0.5000 0.2500
Pr2 Pr 0.2365 0.3340 0.0000
Y1 Y 0.0000 0.0000 0.2500
Y2 Y 0.0966 0.3333 0.5000
Y3 Y 0.2469 0.0000 0.2500

---

Entry 5:
# La12Pr2Y7 GGA-PBE optimized geometry
# calculated volume: 743.5 Å³ per cell
# total magnetic moment: 0.00 μB/f.u.
# calculated density: 5.74 g/cm³
# total DFT energy (no corrections): -5.389 eV per atom
data_La12Pr2Y7
_chemical_formula_sum 'La12 Pr2 Y7'
_symmetry_space_group_name_H-M 'P -6'
_symmetry_Int_Tables_number 174
_symmetry_space_group_name_Hall 'P -6'
_cell_length_a 15.4077
_cell_length_b 15.4077
_cell_length_c 3.6165
_cell_angle_alpha 90.00
_cell_angle_beta 90.00
_cell_angle_gamma 120.00
loop_
_atom_site_label
_atom_site_type_symbol
_atom_site_fract_x
_atom_site_fract_y
_atom_site_fract_z
La1 La 0.0505 0.2510 0.0000
La2 La 0.1301 0.7110 0.5000
La3 La 0.4161 0.1516 0.5000
La4 La 0.4922 0.3958 0.0000
Pr1 Pr 0.0000 0.0000 0.5000
Pr2 Pr 0.3333 0.6667 0.0000
Y1 Y 0.0957 0.4747 0.5000
Y2 Y 0.2356 0.1903 0.0000
Y3 Y 0.6667 0.3333 0.5000

---

Entry 6:
# LaPr6Y2 GGA-PBE optimized geometry
# calculated volume: 649.8 Å³ per cell
# total magnetic moment: 0.00 μB/f.u.
# E above lowest polymorph: 0.047 eV per atom
# calculated density: 5.94 g/cm³
data_LaPr6Y2
_chemical_formula_sum 'La2 Pr12 Y4'
_symmetry_space_group_name_H-M 'C 1 2/m 1'
_symmetry_Int_Tables_number 12
_symmetry_space_group_name_Hall '-C 2y'
_cell_length_a 12.0457
_cell_length_b 3.5109
_cell_length_c 15.7514
_cell_angle_alpha 90.00
_cell_angle_beta 102.72
_cell_angle_gamma 90.00
loop_
_atom_site_label
_atom_site_type_symbol
_atom_site_fract_x
_atom_site_fract_y
_atom_site_fract_z
La1 La 0.0000 0.0000 0.0000
Pr1 Pr 0.0410 0.0000 0.2315
Pr2 Pr 0.1267 0.5000 0.4368
Pr3 Pr 0.2067 0.5000 0.8941
Y1 Y 0.1669 0.5000 0.6654

---

Entry 7:
# LaPr7Y4 GGA-PBE optimized geometry
# calculated volume: 858.9 Å³ per cell
# total magnetic moment: 0.07 μB/f.u.
# E above lowest polymorph: 0.219 eV per atom
# calculated density: 5.73 g/cm³
data_LaPr7Y4
_chemical_formula_sum 'La2 Pr14 Y8'
_symmetry_space_group_name_H-M 'C 1 2/m 1'
_symmetry_Int_Tables_number 12
_symmetry_space_group_name_Hall '-C 2y'
_cell_length_a 12.2432
_cell_length_b 6.1252
_cell_length_c 12.9583
_cell_angle_alpha 90.00
_cell_angle_beta 117.89
_cell_angle_gamma 90.00
loop_
_atom_site_label
_atom_site_type_symbol
_atom_site_fract_x
_atom_site_fract_y
_atom_site_fract_z
La1 La 0.0000 0.0000 0.0000
Pr1 Pr 0.0000 0.5000 0.0000
Pr2 Pr 0.0581 0.0000 0.3300
Pr3 Pr 0.1311 0.5000 0.5032
Pr4 Pr 0.2084 0.0000 0.9196
Y1 Y 0.1355 0.5000 0.7748
Y2 Y 0.2458 0.5000 0.3145

---

Entry 8:
# La16Pr7Y6 GGA-PBE optimized geometry
# calculated volume: 4236.4 Å³ per cell
# total magnetic moment: 0.01 μB/f.u.
# calculated density: 5.87 g/cm³
# total DFT energy (no corrections): -5.011 eV per atom
data_La16Pr7Y6
_chemical_formula_sum 'La64 Pr28 Y24'
_symmetry_space_group_name_H-M 'F m -3 m'
_symmetry_Int_Tables_number 225
_symmetry_space_group_name_Hall '-F 4 2 3'
_cell_length_a 16.1807
_cell_length_b 16.1807
_cell_length_c 16.1807
_cell_angle_alpha 90.00
_cell_angle_beta 90.00
_cell_angle_gamma 90.00
loop_
_atom_site_label
_atom_site_type_symbol
_atom_site_fract_x
_atom_site_fract_y
_atom_site_fract_z
La1 La 0.1210 0.1210 0.1210
La2 La 0.1553 0.1553 0.3447
Pr1 Pr 0.0000 0.0000 0.0000
Pr2 Pr 0.0000 0.2500 0.2500
Y1 Y 0.0000 0.0000 0.2926

---

Entry 9:
# LaPr3Y6 GGA-PBE optimized geometry
# calculated volume: 1369.9 Å³ per cell
# total magnetic moment: 0.00 μB/f.u.
# E above lowest polymorph: 0.000 eV per atom
# calculated density: 5.31 g/cm³
data_LaPr3Y6
_chemical_formula_sum 'La4 Pr12 Y24'
_symmetry_space_group_name_H-M 'C m c 21'
_symmetry_Int_Tables_number 36
_symmetry_space_group_name_Hall 'C 2c -2'
_cell_length_a 11.0796
_cell_length_b 19.1257
_cell_length_c 6.4645
_cell_angle_alpha 90.00
_cell_angle_beta 90.00
_cell_angle_gamma 90.00
loop_
_atom_site_label
_atom_site_type_symbol
_atom_site_fract_x
_atom_site_fract_y
_atom_site_fract_z
La1 La 0.0000 0.1885 0.0000
Pr1 Pr 0.0000 0.3883 0.0719
Pr2 Pr 0.1814 0.1138 0.6787
Y1 Y 0.0000 0.0392 0.2809
Y2 Y 0.0000 0.2683 0.4779
Y3 Y 0.1675 0.4554 0.5942
Y4 Y 0.2353 0.2918 0.7700

---

Entry 10:
# La7Pr3Y2 GGA-PBE optimized geometry
# calculated volume: 433.3 Å³ per cell
# total magnetic moment: 0.00 μB/f.u.
# E above lowest polymorph: 0.024 eV per atom
# calculated density: 6.03 g/cm³
data_La7Pr3Y2
_chemical_formula_sum 'La7 Pr3 Y2'
_symmetry_space_group_name_H-M 'P 1 2/m 1'
_symmetry_Int_Tables_number 10
_symmetry_space_group_name_Hall '-P 2y'
_cell_length_a 5.9716
_cell_length_b 3.6517
_cell_length_c 20.0861
_cell_angle_alpha 90.00
_cell_angle_beta 98.45
_cell_angle_gamma 90.00
loop_
_atom_site_label
_atom_site_type_symbol
_atom_site_fract_x
_atom_site_fract_y
_atom_site_fract_z
La1 La 0.0000 0.0000 0.0000
La2 La 0.0940 0.5000 0.1893
La3 La 0.2671 0.5000 0.5346
La4 La 0.4268 0.0000 0.8540
Pr1 Pr 0.1813 0.0000 0.3661
Pr2 Pr 0.5000 0.5000 0.0000
Y1 Y 0.3532 0.5000 0.7031